VASP calculation (PBEsol) on a relaxed structure of AlFeRh2.

Lattice parameters (Å, degrees): 2.7597 2.7597 6.6981 90.00 90.00 90.00
Site moments in Bohr magnetons follow the coordinates.
Element x y z (fractional)
Rh 0.0000 0.0000 0.9831  0.25
Rh 0.5000 0.5000 0.2667  -0.06
Fe 0.5000 0.5000 0.7443  2.06
Al 0.0000 0.0000 0.5059  -0.03

Symmetry: P4mm (99)
DFT total energy: -0.2801 Ha/atom

***

VASP calculation (PBEsol) on a relaxed structure of CePO4.

Lattice parameters (Å, degrees): 6.4202 6.7693 6.9886 90.00 90.00 103.52
Site moments in Bohr magnetons follow the coordinates.
Element x y z (fractional)
Ce 0.6032 0.2826 0.3411  0.97
Ce 0.8968 0.2174 0.8411  0.97
Ce 0.3968 0.7174 0.6589  0.97
Ce 0.1032 0.7826 0.1589  0.97
P 0.1141 0.3044 0.3363  0.00
P 0.3859 0.1956 0.8363  0.00
P 0.8859 0.6956 0.6637  0.00
P 0.6141 0.8044 0.1637  0.00
O 0.3094 0.4761 0.3926  -0.01
O 0.1906 0.0239 0.8926  -0.01
O 0.6906 0.5239 0.6074  -0.01
O 0.8094 0.9761 0.1074  -0.01
O 0.2143 0.1256 0.2858  -0.01
O 0.2857 0.3744 0.7858  -0.01
O 0.7857 0.8744 0.7142  -0.01
O 0.7143 0.6256 0.2142  -0.01
O 0.4430 0.7497 0.0046  -0.01
O 0.0570 0.7503 0.5046  -0.01
O 0.5570 0.2503 0.9954  -0.01
O 0.9430 0.2497 0.4954  -0.01
O 0.4973 0.8816 0.3337  -0.01
O 0.0027 0.6184 0.8337  -0.01
O 0.5027 0.1184 0.6663  -0.01
O 0.9973 0.3816 0.1663  -0.01

Polymorph energy (0 for the lowest one): 0 meV/atom
Symmetry: P2_1/c (14)

***

VASP calculation (PBEsol) on a relaxed structure of In2Ir.

Lattice parameters (Å, degrees): 3.0219 6.7333 6.6609 90.00 90.00 102.97
Element x y z (fractional)
Ir 0.1147 0.2294 0.5401
Ir 0.8853 0.7706 0.0401
In 0.2524 0.5048 0.8303
In 0.7476 0.4952 0.3303
In 0.5046 0.0093 0.7963
In 0.4954 0.9907 0.2963

Symmetry: Cmc2_1 (36)
DFT total energy: -0.1973 Ha/atom

***

VASP calculation (PBEsol) on a relaxed structure of SiMo2Au.

Lattice parameters (Å, degrees): 2.7903 2.7903 9.0747 81.16 81.16 60.00
Element x y z (fractional)
Au 0.0000 0.0000 0.0000
Mo 0.2450 0.2450 0.2649
Mo 0.7550 0.7550 0.7351
Si 0.5000 0.5000 0.5000

Symmetry: R-3m (166)
DFT total energy: -0.3010 Ha/atom

***

VASP calculation (PBEsol) on a relaxed structure of ZrMn3F.

Lattice parameters (Å, degrees): 4.1722 4.1722 4.1722 90.00 90.00 90.00
Site moments in Bohr magnetons follow the coordinates.
Element x y z (fractional)
Mn 0.0000 0.5000 0.0000  3.27
Mn 0.0000 0.0000 0.5000  3.27
Mn 0.5000 0.0000 0.0000  3.27
Zr 0.5000 0.5000 0.5000  -0.69
F 0.0000 0.0000 0.0000  0.11

Symmetry: Pm-3m (221)
DFT total energy: -0.2932 Ha/atom

***

VASP calculation (PBEsol) on a relaxed structure of KLuC2O6.

Lattice parameters (Å, degrees): 6.2323 6.2323 6.7962 102.71 102.71 97.39
Element x y z (fractional)
K 0.3817 0.6183 0.7500
K 0.6183 0.3817 0.2500
Lu 0.9106 0.0894 0.7500
Lu 0.0894 0.9106 0.2500
C 0.3570 0.0996 0.7470
C 0.6430 0.9004 0.2530
C 0.9004 0.6430 0.7530
C 0.0996 0.3570 0.2470
O 0.5618 0.0885 0.7629
O 0.4382 0.9115 0.2371
O 0.9115 0.4382 0.7371
O 0.0885 0.5618 0.2629
O 0.2896 0.2401 0.8792
O 0.7104 0.7599 0.1208
O 0.7599 0.7104 0.6208
O 0.2401 0.2896 0.3792
O 0.1969 0.9600 0.5970
O 0.8031 0.0400 0.4030
O 0.0400 0.8031 0.9030
O 0.9600 0.1969 0.0970

Symmetry: C2/c (15)
DFT total energy: -0.2893 Ha/atom